Record 1
Compound: Mn4Al5Cu
Source: Alexandria via LeMat-Bulk
Functional: PBE
Structure: relaxed

The space group is P4/mmm (No. 123) and the conventional cell measures 2.785, 2.785 and 17.100 Å, with angles of 90.00, 90.00 and 90.00 degrees. The inequivalent atoms are Mn at (0.000, 0.000, 0.102), Mn at (0.000, 0.000, 0.302), Al at (0.500, 0.500, 0.000), Al at (0.500, 0.500, 0.202), Al at (0.500, 0.500, 0.399) and Cu at (0.000, 0.000, 0.500).

Its total energy is -6.20 eV per atom. The value obtained for the magnetic moment is 0.67 μB/cell. The volume is 13.3 A^3/atom. For the density of states at the Fermi level, the calculation gives 6.3 states/eV/f.u.

***

Record 2
Compound: PmDy2Cd5
Source: Alexandria via LeMat-Bulk
Functional: PBE
Structure: relaxed

The space group is I4/mmm (No. 139) and the conventional cell measures 5.175, 5.175 and 15.053 Å, with angles of 90.00, 90.00 and 90.00 degrees. The inequivalent atoms are Pm at (0.000, 0.000, 0.000), Dy at (0.000, 0.000, 0.263), Cd at (0.000, 0.000, 0.500) and Cd at (0.000, 0.500, 0.122).

Its total energy is -2.63 eV per atom. The value obtained for the magnetic moment is 0.00 μB/cell. The volume is 25.2 A^3/atom. For the density of states at the Fermi level, the calculation gives 3.7 states/eV/f.u.

***

Record 3
Compound: BeTl2Si
Source: Alexandria via LeMat-Bulk
Functional: PBE
Structure: relaxed

The space group is I4/mmm (No. 139) and the conventional cell measures 4.716, 4.716 and 7.798 Å, with angles of 90.00, 90.00 and 90.00 degrees. The inequivalent atoms are Be at (0.000, 0.000, 0.000), Tl at (0.000, 0.500, 0.250) and Si at (0.000, 0.000, 0.500).

The calculation puts the uncorrected formation energy at 3.12 eV per formula unit. Its total energy is -2.69 eV per atom. The value obtained for the energy above the most stable polymorph in this dataset is 0.547 eV per atom. The value obtained for the magnetic moment is 0.00 μB/cell. The volume is 21.7 A^3/atom. For the density of states at the Fermi level, the calculation gives 1.4 states/eV/f.u.

***

Record 4
Compound: Th6In2C
Source: Alexandria via LeMat-Bulk
Functional: PBE
Structure: relaxed

The space group is P2_1/c (No. 14) and the conventional cell measures 6.526, 9.366 and 9.938 Å, with angles of 90.00, 120.29 and 90.00 degrees. The inequivalent atoms are Th at (0.139, 0.130, 0.477), Th at (0.308, 0.742, 0.942), Th at (0.330, 0.047, 0.206), In at (0.195, 0.082, 0.822) and C at (0.500, 0.000, 0.500).

Its total energy is -6.72 eV per atom. The value obtained for the energy above the most stable polymorph in this dataset is 0.039 eV per atom. The value obtained for the magnetic moment is 0.00 μB/cell. The volume is 29.1 A^3/atom. For the density of states at the Fermi level, the calculation gives 10.7 states/eV/f.u.